No. 1
LiCePa4N8, relaxed, DFT PBE-GGA; energy relative to the elements, uncorrected = -1.42 eV per atom; crystal system = trigonal; density of states at the Fermi level = 0.294 states/eV per atom
1.0
3.560 2.055 5.163
-3.560 2.055 5.163
0.000 -4.111 5.163
Li Ce Pa N
1 1 4 8
Direct
0.000 0.000 0.000
0.386 0.386 0.386
0.496 0.999 0.999
0.607 0.607 0.607
0.999 0.496 0.999
0.999 0.999 0.496
0.222 0.749 0.749
0.237 0.237 0.237
0.252 0.252 0.792
0.252 0.792 0.252
0.749 0.222 0.749
0.749 0.749 0.222
0.753 0.753 0.753
0.792 0.252 0.252

=====

No. 2
LiCe2PaN4, relaxed, DFT PBE-GGA; energy relative to the elements, uncorrected = -1.28 eV per atom; crystal system = monoclinic; density of states at the Fermi level = 0.700 states/eV per atom
1.0
5.844 0.000 0.000
0.000 3.596 0.000
-1.799 0.000 5.806
Li Ce Pa N
1 2 1 4
Direct
0.000 0.000 0.000
0.000 0.500 0.500
0.500 0.000 0.500
0.500 0.500 0.000
0.269 0.000 0.770
0.291 0.500 0.260
0.709 0.500 0.740
0.731 0.000 0.230

=====

No. 3
LiCe2PrN4, relaxed, DFT PBE-GGA; energy relative to the elements, uncorrected = -1.24 eV per atom; crystal system = orthorhombic
1.0
1.784 -5.770 0.000
1.784 5.770 0.000
0.000 0.000 11.539
Li Ce Pr N
2 4 2 8
Direct
0.159 0.841 0.750
0.841 0.159 0.250
0.368 0.632 0.058
0.368 0.632 0.442
0.632 0.368 0.558
0.632 0.368 0.942
0.104 0.896 0.250
0.896 0.104 0.750
0.000 0.000 0.000
0.000 0.000 0.500
0.262 0.738 0.613
0.262 0.738 0.887
0.451 0.549 0.250
0.549 0.451 0.750
0.738 0.262 0.113
0.738 0.262 0.387

=====

No. 4
LiCePuN3, relaxed, DFT PBE-GGA; energy relative to the elements, uncorrected = -1.03 eV per atom; crystal system = monoclinic; density of states at the Fermi level = 1.473 states/eV per atom
1.0
6.829 0.000 0.000
0.000 3.416 0.000
-1.568 0.000 7.021
Li Ce Pu N
2 2 2 6
Direct
0.086 0.250 0.077
0.914 0.750 0.923
0.279 0.750 0.815
0.721 0.250 0.185
0.316 0.750 0.335
0.684 0.250 0.665
0.004 0.250 0.799
0.358 0.250 0.578
0.372 0.250 0.129
0.628 0.750 0.871
0.642 0.750 0.422
0.996 0.750 0.201

=====

No. 5
LiCe2PuN4, relaxed, DFT PBE-GGA; energy relative to the elements, uncorrected = -1.12 eV per atom; crystal system = monoclinic; density of states at the Fermi level = 0.903 states/eV per atom
1.0
5.889 0.000 0.000
0.000 3.602 0.000
-1.810 0.000 5.661
Li Ce Pu N
1 2 1 4
Direct
0.000 0.000 0.000
0.500 0.000 0.500
0.500 0.500 0.000
0.000 0.500 0.500
0.251 0.000 0.746
0.265 0.500 0.284
0.735 0.500 0.716
0.749 0.000 0.254

=====

No. 6
LiCe2PuN5, relaxed, DFT PBE-GGA; energy relative to the elements, uncorrected = -0.99 eV per atom; crystal system = orthorhombic; density of states at the Fermi level = 0.559 states/eV per atom
1.0
1.735 -6.579 0.000
1.735 6.579 0.000
0.000 0.000 10.393
Li Ce Pu N
2 4 2 10
Direct
0.021 0.979 0.500
0.979 0.021 0.000
0.369 0.631 0.334
0.392 0.608 0.729
0.608 0.392 0.229
0.631 0.369 0.834
0.295 0.705 0.044
0.705 0.295 0.544
0.004 0.996 0.803
0.146 0.854 0.033
0.200 0.800 0.406
0.222 0.778 0.689
0.437 0.563 0.080
0.563 0.437 0.580
0.778 0.222 0.189
0.800 0.200 0.906
0.854 0.146 0.533
0.996 0.004 0.303

=====

Mass density values, unit g/cm³, following the record order: 8.667, 7.816, 6.769, 8.780, 8.120, 8.413.